(1)
ZrCdP2Cl | GGA-PBE | relaxed

Unit cell a=4.905 b=4.905 c=4.907 alpha=90.00 beta=90.00 gamma=90.00
Fractional coordinates of all 5 atoms:
P1 0.000 0.500 0.000
P2 0.500 0.000 0.000
Cl1 0.000 0.000 0.500
Zr1 0.500 0.500 0.500
Cd1 0.000 0.000 0.000

Output
ΔE to the lowest computed polymorph (meV per atom): 790.6
Calculated total energy (eV/atom): -3.7769

(2)
Pa2CdCl8 | GGA-PBE | relaxed

Unit cell a=10.515 b=7.512 c=7.512 alpha=106.16 beta=99.66 gamma=99.66
Site moments in Bohr magnetons follow the coordinates.
Fractional coordinates of all 11 atoms:
Pa1 0.667 0.915 0.915  0.94
Pa2 0.333 0.085 0.085  0.94
Cd1 0.000 0.000 0.000  0.01
Cl1 0.253 0.216 0.821  -0.02
Cl2 0.747 0.179 0.784  -0.02
Cl3 0.402 0.806 0.806  -0.01
Cl4 0.598 0.194 0.194  -0.01
Cl5 0.253 0.821 0.216  -0.02
Cl6 0.747 0.784 0.179  -0.02
Cl7 0.698 0.648 0.648  -0.02
Cl8 0.302 0.352 0.352  -0.02

Output
Calculated total energy (eV/atom): -4.6880

(3)
PaTlCdCl6 | GGA-PBE | relaxed

Unit cell a=7.970 b=7.970 c=13.912 alpha=90.00 beta=90.00 gamma=120.00
Site moments in Bohr magnetons follow the coordinates.
Fractional coordinates of all 18 atoms:
Pa1 0.667 0.333 0.250  0.07
Pa2 0.333 0.667 0.750  0.07
Tl1 0.333 0.667 0.250  0.00
Tl2 0.667 0.333 0.750  0.00
Cd1 0.000 0.000 0.000  0.00
Cd2 0.000 0.000 0.500  0.00
Cl1 0.655 0.591 0.144  0.00
Cl2 0.937 0.345 0.144  0.00
Cl3 0.345 0.937 0.644  0.00
Cl4 0.063 0.655 0.856  0.00
Cl5 0.409 0.345 0.356  0.00
Cl6 0.937 0.591 0.356  0.00
Cl7 0.591 0.937 0.856  0.00
Cl8 0.655 0.063 0.356  0.00
Cl9 0.063 0.409 0.644  0.00
Cl10 0.409 0.063 0.144  0.00
Cl11 0.591 0.655 0.644  0.00
Cl12 0.345 0.409 0.856  0.00

Output
Calculated total energy (eV/atom): -4.0793

(4)
Cd2PbCl | GGA-PBE | relaxed

Unit cell a=6.537 b=6.537 c=6.537 alpha=141.10 beta=141.10 gamma=56.18
Fractional coordinates of all 4 atoms:
Pb1 0.750 0.250 0.500
Cl1 0.250 0.750 0.500
Cd1 0.000 0.000 0.000
Cd2 0.500 0.500 0.000

Output
ΔE to the lowest computed polymorph (meV per atom): 86.7
Calculated total energy (eV/atom): -2.0158

(5)
CdPb2Cl | GGA-PBE | relaxed

Unit cell a=3.376 b=4.936 c=6.638 alpha=90.00 beta=90.00 gamma=90.00
Fractional coordinates of all 4 atoms:
Pb1 0.000 0.000 0.001
Pb2 0.000 0.000 0.499
Cl1 0.500 0.500 0.750
Cd1 0.500 0.500 0.250

Output
ΔE to the lowest computed polymorph (meV per atom): 97.6
Calculated total energy (eV/atom): -2.7211

(6)
Cd2PbCl | GGA-PBE | relaxed

Unit cell a=6.040 b=6.040 c=5.789 alpha=62.46 beta=62.46 gamma=34.52
Fractional coordinates of all 4 atoms:
Pb1 0.253 0.253 0.250
Cl1 0.475 0.475 0.524
Cd1 0.018 0.018 0.980
Cd2 0.755 0.755 0.746

Output
ΔE to the lowest computed polymorph (meV per atom): 40.0
Calculated total energy (eV/atom): -2.0625

(7)
Cd2PbCl | GGA-PBE | relaxed

Unit cell a=6.785 b=6.785 c=7.963 alpha=64.78 beta=64.78 gamma=90.00
Fractional coordinates of all 8 atoms:
Pb1 0.000 0.000 0.000
Pb2 0.750 0.250 0.500
Cl1 0.500 0.500 0.000
Cl2 0.250 0.750 0.500
Cd1 0.616 0.125 0.250
Cd2 0.134 0.625 0.250
Cd3 0.375 0.384 0.750
Cd4 0.875 0.866 0.750

Output
ΔE to the lowest computed polymorph (meV per atom): 126.8
Calculated total energy (eV/atom): -1.9757

(8)
Cd2PbCl | GGA-PBE | relaxed

Unit cell a=6.220 b=3.402 c=5.054 alpha=86.42 beta=90.00 gamma=90.00
Fractional coordinates of all 4 atoms:
Pb1 0.500 0.750 0.750
Cl1 0.500 0.250 0.250
Cd1 0.000 0.002 0.000
Cd2 0.000 0.498 0.500

Output
ΔE to the lowest computed polymorph (meV per atom): 36.9
Calculated total energy (eV/atom): -2.0656

(9)
Cd2PbCl | GGA-PBE | relaxed

Unit cell a=3.611 b=3.611 c=8.844 alpha=90.00 beta=90.00 gamma=110.02
Fractional coordinates of all 4 atoms:
Pb1 0.500 0.500 0.750
Cl1 0.500 0.500 0.250
Cd1 0.000 0.000 0.017
Cd2 0.000 0.000 0.483

Output
ΔE to the lowest computed polymorph (meV per atom): 41.8
Calculated total energy (eV/atom): -2.0607

(10)
CdPb2Cl | GGA-PBE | relaxed

Unit cell a=10.590 b=10.590 c=10.590 alpha=18.93 beta=18.93 gamma=18.93
Fractional coordinates of all 4 atoms:
Pb1 0.005 0.005 0.005
Pb2 0.495 0.495 0.495
Cl1 0.750 0.750 0.750
Cd1 0.250 0.250 0.250

Output
ΔE to the lowest computed polymorph (meV per atom): 38.6
Calculated total energy (eV/atom): -2.7801

(11)
CdPb2Cl | GGA-PBE | relaxed

Unit cell a=4.688 b=4.688 c=11.605 alpha=78.35 beta=78.35 gamma=90.00
Fractional coordinates of all 8 atoms:
Pb1 0.619 0.125 0.250
Pb2 0.131 0.625 0.250
Pb3 0.375 0.381 0.750
Pb4 0.875 0.869 0.750
Cl1 0.500 0.500 0.000
Cl2 0.250 0.750 0.500
Cd1 0.000 0.000 0.000
Cd2 0.750 0.250 0.500

Output
ΔE to the lowest computed polymorph (meV per atom): 134.7
Calculated total energy (eV/atom): -2.6840

(12)
Cd3PbCl8 | GGA-PBE | relaxed

Unit cell a=8.060 b=8.057 c=7.889 alpha=121.16 beta=90.00 gamma=120.01
Fractional coordinates of all 12 atoms:
Cd1 0.500 0.000 0.000
Cd2 0.500 0.500 0.000
Cd3 0.000 0.500 0.000
Pb1 0.000 0.000 0.000
Cl1 0.257 0.515 0.775
Cl2 0.743 0.485 0.225
Cl3 0.280 0.023 0.769
Cl4 0.743 0.023 0.769
Cl5 0.743 0.486 0.769
Cl6 0.257 0.514 0.231
Cl7 0.257 0.977 0.231
Cl8 0.720 0.977 0.231

Output
Calculated total energy (eV/atom): -2.8561

- Which formula does entry 5 have?
  CdPb2Cl

- Which value of calculated total energy does entry 9 give?
  -2.0607 eV/atom

- calculated total energy of number 11 (CdPb2Cl)?
  -2.6840 eV/atom